A plane-wave DFT calculation with PBE was carried out for a relaxed structure of Cs3Ag2PbBr6.

Raw formation energy   -94.8 kJ/mol of atoms
Final energy   -2.816 eV per atom

Cell: 8.578 8.578 9.055 Å, 90.00 90.00 120.00°
Positions (direct):
Cs 0.333 0.667 0.623
Cs 0.667 0.333 0.377
Cs 0.000 0.000 0.000
Ag 0.667 0.333 0.815
Ag 0.333 0.667 0.185
Pb 0.000 0.000 0.500
Br 0.670 0.835 0.297
Br 0.165 0.330 0.297
Br 0.165 0.835 0.297
Br 0.835 0.670 0.703
Br 0.330 0.165 0.703
Br 0.835 0.165 0.703